[1]
Compound: CsK3Li
Source: Alexandria
Functional: PBE
Structure: optimized geometry Values from VASP.

The structure in Quantum ESPRESSO input format:
```
&SYSTEM
  ibrav = 0, nat = 5, ntyp = 3
/
ATOMIC_SPECIES
Cs 132.91 Cs.upf
K 39.10 K.upf
Li 6.94 Li.upf
CELL_PARAMETERS angstrom
7.181 0.000 0.000
0.000 7.181 0.000
0.000 0.000 7.181
ATOMIC_POSITIONS angstrom
Cs 3.590 3.590 3.590
K 0.000 3.590 0.000
K 0.000 0.000 3.590
K 3.590 0.000 0.000
Li 0.000 0.000 0.000
```

Output
Density of states at the Fermi level in states/eV/cell: 2.926
Magnetization in Bohr magnetons per cell: 0.00
Energy above the most stable polymorph in this dataset in meV/atom: 0

---

[2]
Compound: CsK2Li2
Source: Alexandria
Functional: PBE
Structure: optimized geometry Values from VASP.

The structure in Quantum ESPRESSO input format:
```
&SYSTEM
  ibrav = 0, nat = 10, ntyp = 3
/
ATOMIC_SPECIES
Cs 132.91 Cs.upf
K 39.10 K.upf
Li 6.94 Li.upf
CELL_PARAMETERS angstrom
-3.132 -3.558 10.382
-9.734 -4.087 -4.337
1.885 -3.735 -0.711
ATOMIC_POSITIONS angstrom
Cs 0.000 0.000 0.000
Cs -6.433 -3.822 3.023
K -9.624 -4.870 0.067
K -8.859 -5.670 6.297
K -3.242 -2.775 5.978
K -4.007 -1.974 -0.251
Li -6.052 -5.175 -1.524
Li -9.265 -7.646 2.933
Li -4.929 -6.204 6.858
Li -1.715 -3.734 2.401
```

Output
Density of states at the Fermi level in states/eV/cell: 7.925
Magnetization in Bohr magnetons per cell: 0.00
Energy above the most stable polymorph in this dataset in meV/atom: 15

---

[3]
Compound: Cs2K6Li
Source: Alexandria
Functional: PBE
Structure: optimized geometry Values from VASP.

The structure in Quantum ESPRESSO input format:
```
&SYSTEM
  ibrav = 0, nat = 9, ntyp = 3
/
ATOMIC_SPECIES
Cs 132.91 Cs.upf
K 39.10 K.upf
Li 6.94 Li.upf
CELL_PARAMETERS angstrom
-2.165 -6.972 -3.884
9.367 -2.808 -0.181
-5.693 -2.448 7.567
ATOMIC_POSITIONS angstrom
Cs 3.706 -4.753 1.251
Cs -2.197 -7.475 2.250
K 2.323 -9.403 1.824
K 5.131 -8.196 -1.908
K 0.998 -5.416 5.320
K 0.511 -6.812 -1.819
K -3.622 -4.031 5.410
K -0.814 -2.824 1.678
Li -1.082 -3.486 -1.942
```

Output
Density of states at the Fermi level in states/eV/cell: 7.235
Magnetization in Bohr magnetons per cell: 0.00
E in eV per atom: -1.08

---

[4]
Compound: CsK3Li
Source: Alexandria
Functional: PBE
Structure: optimized geometry Values from VASP.

The structure in Quantum ESPRESSO input format:
```
&SYSTEM
  ibrav = 0, nat = 5, ntyp = 3
/
ATOMIC_SPECIES
Cs 132.91 Cs.upf
K 39.10 K.upf
Li 6.94 Li.upf
CELL_PARAMETERS angstrom
7.939 0.000 0.000
0.000 7.939 0.000
0.000 0.000 7.939
ATOMIC_POSITIONS angstrom
Cs 0.000 0.000 0.000
K 0.000 3.969 0.000
K 0.000 0.000 3.969
K 3.969 0.000 0.000
Li 3.969 3.969 3.969
```

Output
Density of states at the Fermi level in states/eV/cell: 6.379
Magnetization in Bohr magnetons per cell: 0.00
Energy above the most stable polymorph in this dataset in meV/atom: 388

---

[5]
Compound: CsK2Li2
Source: Alexandria
Functional: PBE
Structure: optimized geometry Values from VASP.

The structure in Quantum ESPRESSO input format:
```
&SYSTEM
  ibrav = 0, nat = 5, ntyp = 3
/
ATOMIC_SPECIES
Cs 132.91 Cs.upf
K 39.10 K.upf
Li 6.94 Li.upf
CELL_PARAMETERS angstrom
-3.311 3.311 7.011
3.311 -3.311 7.011
3.311 3.311 -7.011
ATOMIC_POSITIONS angstrom
Cs 0.000 0.000 0.000
K 0.000 0.000 9.053
K 0.000 0.000 4.968
Li 0.000 3.311 3.505
Li 3.311 0.000 3.505
```

Output
Density of states at the Fermi level in states/eV/cell: 3.566
Magnetization in Bohr magnetons per cell: 0.00
Energy above the most stable polymorph in this dataset in meV/atom: 63

---

[6]
Compound: CsKNa2Li
Source: Alexandria
Functional: PBE
Structure: optimized geometry Values from VASP.

The structure in Quantum ESPRESSO input format:
```
&SYSTEM
  ibrav = 0, nat = 5, ntyp = 4
/
ATOMIC_SPECIES
Cs 132.91 Cs.upf
Na 22.99 Na.upf
K 39.10 K.upf
Li 6.94 Li.upf
CELL_PARAMETERS angstrom
6.376 0.000 0.000
0.000 6.376 0.000
0.000 0.000 7.156
ATOMIC_POSITIONS angstrom
Cs 0.000 0.000 3.578
Na 0.000 3.188 0.000
Na 3.188 0.000 0.000
K 3.188 3.188 3.578
Li 0.000 0.000 0.000
```

Output
Density of states at the Fermi level in states/eV/cell: 3.638
Magnetization in Bohr magnetons per cell: 0.00
Energy above the most stable polymorph in this dataset in meV/atom: 59

---

[7]
Compound: CsKNa2Li
Source: Alexandria
Functional: PBE
Structure: optimized geometry Values from VASP.

The structure in Quantum ESPRESSO input format:
```
&SYSTEM
  ibrav = 0, nat = 5, ntyp = 4
/
ATOMIC_SPECIES
Cs 132.91 Cs.upf
Na 22.99 Na.upf
K 39.10 K.upf
Li 6.94 Li.upf
CELL_PARAMETERS angstrom
-0.056 -2.098 -6.059
6.239 -1.418 0.434
-1.559 -6.201 2.161
ATOMIC_POSITIONS angstrom
Cs 2.312 -4.858 -1.732
Na 3.119 -0.709 0.217
Na -0.028 -1.049 -3.030
K -0.780 -3.100 1.081
Li 0.000 0.000 0.000
```

Output
Density of states at the Fermi level in states/eV/cell: 3.050
Magnetization in Bohr magnetons per cell: 0.00
Energy above the most stable polymorph in this dataset in meV/atom: 0

---

[8]
Compound: CsKNa2Li12Si4O16
Source: Alexandria
Functional: PBE
Structure: optimized geometry Values from VASP.

The structure in Quantum ESPRESSO input format:
```
&SYSTEM
  ibrav = 0, nat = 36, ntyp = 6
/
ATOMIC_SPECIES
Cs 132.91 Cs.upf
K 39.10 K.upf
Na 22.99 Na.upf
Li 6.94 Li.upf
Si 28.09 Si.upf
O 16.00 O.upf
CELL_PARAMETERS angstrom
8.529 0.001 0.000
-6.092 5.969 0.000
-1.219 -2.985 7.896
ATOMIC_POSITIONS angstrom
Cs 0.000 0.000 0.000
K 1.219 2.985 0.000
Na 4.265 0.000 3.948
Na -3.046 2.985 3.948
Li -1.575 0.643 2.868
Li 4.656 -1.900 6.196
Li 2.793 2.342 5.028
Li -3.437 4.885 1.701
Li -1.956 2.605 1.018
Li 1.574 1.163 2.796
Li 3.175 0.381 6.878
Li 2.002 -2.494 6.878
Li -0.783 5.479 1.018
Li 2.748 4.037 2.796
Li -0.356 1.822 5.101
Li -1.529 -1.052 5.101
Si -2.659 1.085 6.265
Si 3.878 1.900 1.631
Si -0.292 3.602 2.872
Si 1.510 -0.617 5.024
O 1.340 0.951 5.535
O 3.929 3.376 0.881
O 0.927 4.602 2.362
O -1.663 2.176 7.016
O -2.711 -0.391 7.016
O -0.121 2.034 2.362
O 2.881 0.809 0.881
O 0.292 -1.617 5.535
O 2.918 -1.191 5.706
O -2.028 0.828 4.745
O 3.246 2.157 3.151
O -1.699 4.176 2.190
O 5.400 1.278 1.799
O 1.665 -0.680 3.380
O -0.447 3.665 4.516
O -4.181 1.707 6.098
```

Output
Density of states at the Fermi level in states/eV/cell: 0.000
Magnetization in Bohr magnetons per cell: 0.00
Raw formation energy in eV per atom: -2.31

---

[9]
Compound: CsKLiP
Source: Alexandria
Functional: PBE
Structure: optimized geometry Values from VASP.

The structure in Quantum ESPRESSO input format:
```
&SYSTEM
  ibrav = 0, nat = 4, ntyp = 4
/
ATOMIC_SPECIES
Cs 132.91 Cs.upf
K 39.10 K.upf
Li 6.94 Li.upf
P 30.97 P.upf
CELL_PARAMETERS angstrom
-1.891 -4.222 -0.795
0.948 -3.578 2.887
-6.763 -0.582 5.317
ATOMIC_POSITIONS angstrom
Cs -3.958 -6.856 4.252
K -6.589 -0.637 5.192
Li -1.538 -2.217 1.574
P -1.866 -4.812 2.281
```

Output
Density of states at the Fermi level in states/eV/cell: 0.969
Magnetization in Bohr magnetons per cell: 0.00
E in eV per atom: -2.62

---

[10]
Compound: Cs2KLiPb
Source: Alexandria
Functional: PBE
Structure: optimized geometry Values from VASP.

The structure in Quantum ESPRESSO input format:
```
&SYSTEM
  ibrav = 0, nat = 5, ntyp = 4
/
ATOMIC_SPECIES
Pb 207.20 Pb.upf
Cs 132.91 Cs.upf
K 39.10 K.upf
Li 6.94 Li.upf
CELL_PARAMETERS angstrom
7.069 0.000 0.000
0.000 7.069 0.000
0.000 0.000 5.509
ATOMIC_POSITIONS angstrom
Pb 0.000 0.000 2.754
Cs 0.000 3.535 0.000
Cs 3.535 0.000 0.000
K 3.535 3.535 2.754
Li 0.000 0.000 0.000
```

Output
Density of states at the Fermi level in states/eV/cell: 4.977
Magnetization in Bohr magnetons per cell: 0.21
E in eV per atom: -1.66

---

[11]
Compound: CsKLi2Pb
Source: Alexandria
Functional: PBE
Structure: optimized geometry Values from VASP.

The structure in Quantum ESPRESSO input format:
```
&SYSTEM
  ibrav = 0, nat = 5, ntyp = 4
/
ATOMIC_SPECIES
Pb 207.20 Pb.upf
Cs 132.91 Cs.upf
K 39.10 K.upf
Li 6.94 Li.upf
CELL_PARAMETERS angstrom
5.683 0.000 0.000
0.000 5.683 0.000
0.000 0.000 6.673
ATOMIC_POSITIONS angstrom
Pb 0.000 0.000 0.000
Cs 2.842 2.842 3.336
K 0.000 0.000 3.336
Li 0.000 2.842 0.000
Li 2.842 0.000 0.000
```

Output
Density of states at the Fermi level in states/eV/cell: 0.653
Magnetization in Bohr magnetons per cell: 0.00
E in eV per atom: -1.95

---

[12]
Compound: CsK2LiPb
Source: Alexandria
Functional: PBE
Structure: optimized geometry Values from VASP.

The structure in Quantum ESPRESSO input format:
```
&SYSTEM
  ibrav = 0, nat = 5, ntyp = 4
/
ATOMIC_SPECIES
Pb 207.20 Pb.upf
Cs 132.91 Cs.upf
K 39.10 K.upf
Li 6.94 Li.upf
CELL_PARAMETERS angstrom
-6.509 1.125 0.379
-0.403 -0.108 -6.603
-0.915 -5.343 0.143
ATOMIC_POSITIONS angstrom
Pb -0.458 -2.671 0.071
Cs -3.914 -2.163 -3.041
K -0.201 -0.054 -3.302
K -3.254 0.563 0.189
Li 0.000 0.000 0.000
```

Output
Density of states at the Fermi level in states/eV/cell: 2.752
Magnetization in Bohr magnetons per cell: 0.00
Energy above the most stable polymorph in this dataset in meV/atom: 10

---

[13]
Compound: CsK2LiPb
Source: Alexandria
Functional: PBE
Structure: optimized geometry Values from VASP.

The structure in Quantum ESPRESSO input format:
```
&SYSTEM
  ibrav = 0, nat = 5, ntyp = 4
/
ATOMIC_SPECIES
Pb 207.20 Pb.upf
Cs 132.91 Cs.upf
K 39.10 K.upf
Li 6.94 Li.upf
CELL_PARAMETERS angstrom
-3.737 2.242 -5.414
-3.041 -6.231 -0.482
-4.089 1.723 3.536
ATOMIC_POSITIONS angstrom
Pb 0.000 0.000 0.000
Cs -5.434 -1.133 -1.180
K -1.521 -3.115 -0.241
K -1.868 1.121 -2.707
Li -2.045 0.861 1.768
```

Output
Density of states at the Fermi level in states/eV/cell: 2.029
Magnetization in Bohr magnetons per cell: 0.00
Energy above the most stable polymorph in this dataset in meV/atom: 0

---

[14]
Compound: Cs2KLiPd
Source: Alexandria
Functional: PBE
Structure: optimized geometry Values from VASP.

The structure in Quantum ESPRESSO input format:
```
&SYSTEM
  ibrav = 0, nat = 5, ntyp = 4
/
ATOMIC_SPECIES
Cs 132.91 Cs.upf
K 39.10 K.upf
Pd 106.42 Pd.upf
Li 6.94 Li.upf
CELL_PARAMETERS angstrom
-0.647 5.703 4.279
-6.815 0.768 -2.054
-1.521 -3.091 3.890
ATOMIC_POSITIONS angstrom
Cs -3.407 0.384 -1.027
Cs -0.323 2.851 2.139
K -4.491 1.690 3.057
Pd 0.000 0.000 0.000
Li -0.760 -1.545 1.945
```

Output
Density of states at the Fermi level in states/eV/cell: 3.068
Magnetization in Bohr magnetons per cell: 0.00
E in eV per atom: -1.87

---

[15]
Compound: Cs2KLiPt
Source: Alexandria
Functional: PBE
Structure: optimized geometry Values from VASP.

The structure in Quantum ESPRESSO input format:
```
&SYSTEM
  ibrav = 0, nat = 5, ntyp = 4
/
ATOMIC_SPECIES
Cs 132.91 Cs.upf
K 39.10 K.upf
Pt 195.08 Pt.upf
Li 6.94 Li.upf
CELL_PARAMETERS angstrom
-3.094 0.764 -6.246
-4.339 -5.300 1.501
-3.330 3.308 2.055
ATOMIC_POSITIONS angstrom
Cs -2.169 -2.650 0.751
Cs -1.547 0.382 -3.123
K -5.382 -0.614 -1.345
Pt 0.000 0.000 0.000
Li -1.665 1.654 1.027
```

Output
Density of states at the Fermi level in states/eV/cell: 2.362
Magnetization in Bohr magnetons per cell: 0.00
E in eV per atom: -2.09

---

[16]
Compound: Cs2KLiRe
Source: Alexandria
Functional: PBE
Structure: optimized geometry Values from VASP.

The structure in Quantum ESPRESSO input format:
```
&SYSTEM
  ibrav = 0, nat = 5, ntyp = 4
/
ATOMIC_SPECIES
Cs 132.91 Cs.upf
Re 186.21 Re.upf
K 39.10 K.upf
Li 6.94 Li.upf
CELL_PARAMETERS angstrom
7.752 0.000 0.000
0.000 6.025 0.000
0.000 0.000 7.752
ATOMIC_POSITIONS angstrom
Cs 0.000 0.000 3.876
Cs 3.876 0.000 0.000
Re 3.876 3.013 3.876
K 0.000 0.000 0.000
Li 0.000 3.013 0.000
```

Output
Density of states at the Fermi level in states/eV/cell: 9.709
Magnetization in Bohr magnetons per cell: 4.01
E in eV per atom: -1.76

---

[17]
Compound: CsKLiSb
Source: Alexandria
Functional: PBE
Structure: optimized geometry Values from VASP.

The structure in Quantum ESPRESSO input format:
```
&SYSTEM
  ibrav = 0, nat = 4, ntyp = 4
/
ATOMIC_SPECIES
Cs 132.91 Cs.upf
K 39.10 K.upf
Li 6.94 Li.upf
Sb 121.76 Sb.upf
CELL_PARAMETERS angstrom
-4.244 -2.426 1.886
0.399 -4.853 1.935
0.096 0.343 7.935
ATOMIC_POSITIONS angstrom
Cs -3.145 -5.872 7.206
K 0.027 0.203 7.599
Li -1.031 -1.922 2.486
Sb -2.312 -4.347 3.764
```

Output
Density of states at the Fermi level in states/eV/cell: 0.849
Magnetization in Bohr magnetons per cell: 0.00
Energy above the most stable polymorph in this dataset in meV/atom: 0
Raw formation energy in eV per atom: -0.42

---

[18]
Compound: CsKLiSb
Source: Alexandria
Functional: PBE
Structure: optimized geometry Values from VASP.

The structure in Quantum ESPRESSO input format:
```
&SYSTEM
  ibrav = 0, nat = 4, ntyp = 4
/
ATOMIC_SPECIES
Cs 132.91 Cs.upf
Sb 121.76 Sb.upf
K 39.10 K.upf
Li 6.94 Li.upf
CELL_PARAMETERS angstrom
5.816 0.000 0.000
2.908 5.037 0.000
2.908 1.679 4.749
ATOMIC_POSITIONS angstrom
Cs 2.908 1.679 1.187
Sb 8.724 5.037 3.562
K 5.816 3.358 2.374
Li 0.000 0.000 0.000
```

Output
Magnetization in Bohr magnetons per cell: 0.00
Energy above the most stable polymorph in this dataset in meV/atom: 82
Raw formation energy in eV per atom: -0.33

---

[19]
Compound: Cs2KLiSe2
Source: Alexandria
Functional: PBE
Structure: optimized geometry Values from VASP.

The structure in Quantum ESPRESSO input format:
```
&SYSTEM
  ibrav = 0, nat = 12, ntyp = 4
/
ATOMIC_SPECIES
Cs 132.91 Cs.upf
K 39.10 K.upf
Li 6.94 Li.upf
Se 78.96 Se.upf
CELL_PARAMETERS angstrom
7.697 0.000 0.000
0.000 7.100 0.000
-3.848 -3.550 7.897
ATOMIC_POSITIONS angstrom
Cs 2.154 0.000 2.730
Cs 1.695 3.550 5.168
Cs -1.695 0.000 5.168
Cs 5.543 3.550 2.730
K 0.000 5.325 0.000
K 0.000 1.775 0.000
Li 3.848 5.325 0.000
Li 3.848 1.775 0.000
Se 5.431 0.000 1.475
Se 2.265 3.550 1.475
Se 1.583 0.000 6.423
Se -1.583 3.550 6.423
```

Output
Density of states at the Fermi level in states/eV/cell: 0.000
Magnetization in Bohr magnetons per cell: 0.00
Raw formation energy in eV per atom: -1.10

---

[20]
Compound: CsK2LiSe
Source: Alexandria
Functional: PBE
Structure: optimized geometry Values from VASP.

The structure in Quantum ESPRESSO input format:
```
&SYSTEM
  ibrav = 0, nat = 5, ntyp = 4
/
ATOMIC_SPECIES
Cs 132.91 Cs.upf
K 39.10 K.upf
Se 78.96 Se.upf
Li 6.94 Li.upf
CELL_PARAMETERS angstrom
6.848 0.000 0.000
0.000 6.848 0.000
0.000 0.000 5.202
ATOMIC_POSITIONS angstrom
Cs 3.424 3.424 2.601
K 0.000 3.424 0.000
K 3.424 0.000 0.000
Se 0.000 0.000 0.000
Li 0.000 0.000 2.601
```

Output
Density of states at the Fermi level in states/eV/cell: 2.495
Magnetization in Bohr magnetons per cell: 0.00
Raw formation energy in eV per atom: -0.48